(1)
A plane-wave DFT calculation with PBE was carried out for a geometry-optimized Tb2MgP3Rh4 structure.

DFT formation energy in eV per atom: -1.0295
DOS(E_F) in states/eV/cell: 2.95

Cell lengths 3.9468, 3.9468, 10.7177 Å; angles 90.00, 90.00, 90.00 degrees
Closest atoms and distances in Å follow each position.
Atoms (fractional coordinates):
Tb 0.0000 0.5000 0.2382  8 Rh 3.01-3.23, 4 P 3.02
Tb 0.5000 0.0000 0.7618  8 Rh 3.01-3.23, 4 P 3.02
Mg 0.0000 0.0000 0.5000  4 Rh 2.59, 4 P 2.79
P 0.0000 0.5000 0.8693  5 Rh 2.28-2.42
P 0.5000 0.0000 0.1307  5 Rh 2.28-2.42
P 0.5000 0.5000 0.5000  4 Rh 2.59, 4 Mg 2.79
Rh 0.0000 0.0000 0.0000  4 P 2.42
Rh 0.0000 0.5000 0.6563  1 P 2.28
Rh 0.5000 0.0000 0.3437  1 P 2.28
Rh 0.5000 0.5000 0.0000  4 P 2.42


(2)
A plane-wave DFT calculation with PBE was carried out for a geometry-optimized Tb3MgP2Rh9 structure.

DFT formation energy in eV per atom: -0.5535
DOS(E_F) in states/eV/cell: 1.01

Cell lengths 6.2495, 6.2495, 7.9850 Å; angles 90.00, 90.00, 120.00 degrees
Closest atoms and distances in Å follow each position.
Atoms (fractional coordinates):
Tb 0.0000 0.0000 0.0000  12 Rh 3.08-3.12
Tb 0.3333 0.6667 0.6506  12 Rh 3.14-3.32
Tb 0.6667 0.3333 0.3494  12 Rh 3.14-3.32
Mg 0.0000 0.0000 0.5000  6 Rh 2.35
P 0.3333 0.6667 0.1628  6 Rh 2.15-2.22
P 0.6667 0.3333 0.8372  6 Rh 2.15-2.22
Rh 0.0000 0.5000 0.0000  2 P 2.22
Rh 0.1676 0.3352 0.3120  1 P 2.15, 1 Mg 2.35
Rh 0.1676 0.8324 0.3120  1 P 2.15, 1 Mg 2.35
Rh 0.3352 0.1676 0.6880  1 P 2.15, 1 Mg 2.35
Rh 0.5000 0.0000 0.0000  2 P 2.22
Rh 0.5000 0.5000 0.0000  2 P 2.22
Rh 0.6648 0.8324 0.3120  1 P 2.15, 1 Mg 2.35
Rh 0.8324 0.1676 0.6880  1 P 2.15, 1 Mg 2.35
Rh 0.8324 0.6648 0.6880  1 P 2.15, 1 Mg 2.35


(3)
A plane-wave DFT calculation with PBE was carried out for a geometry-optimized MgTcPRh2 structure.

DFT formation energy in eV per atom: 1.3988
DOS(E_F) in states/eV/cell: 5.03

Cell lengths 4.5025, 4.5025, 4.4954 Å; angles 90.00, 90.00, 90.00 degrees
Closest atoms and distances in Å follow each position.
Atoms (fractional coordinates):
Mg 0.0000 0.0000 0.0000  2 P 2.25, 4 Rh 2.25
Tc 0.5000 0.5000 0.5000  8 Rh 3.18, 4 P 3.18
P 0.0000 0.0000 0.5000  2 Mg 2.25
Rh 0.0000 0.5000 0.0000  2 Mg 2.25
Rh 0.5000 0.0000 0.0000  2 Mg 2.25


Question: Look up the DFT formation energy of the second one.
Answer: -0.5535 eV per atom


Question: The lowest DFT formation energy belongs to which entry?
Answer: Tb2MgP3Rh4


Question: Which value of DFT formation energy does entry 3 give?
Answer: 1.3988 eV per atom


Question: Which value of DFT formation energy does entry 2 give?
Answer: -0.5535 eV per atom